[1]
A plane-wave DFT calculation with PBE was carried out for a relaxed ZrCd3Br crystal.

Cell: 5.8026 5.8026 5.8026 Å, 90.00 90.00 90.00°
Last column: nearest neighbours and their distance in Å.
Fractional positions:
1 Cd 0.5000 0.0000 0.0000  2 Zr 2.90
2 Zr 0.0000 0.0000 0.0000  6 Cd 2.90
3 Cd 0.0000 0.5000 0.0000  2 Zr 2.90
4 Cd 0.0000 0.0000 0.5000  2 Zr 2.90
5 Br 0.5000 0.5000 0.5000  12 Cd 4.10

- symmetry = Pm-3m
- density (g/cm³) = 4.3
- raw formation energy (meV/atom) = 625.7

[2]
A plane-wave DFT calculation with PBE was carried out for a relaxed ZrCd2Br crystal.

Cell: 5.2341 5.2341 3.5334 Å, 90.00 90.00 90.00°
Last column: nearest neighbours and their distance in Å.
Fractional positions:
1 Cd 0.0000 0.0000 0.0000  4 Zr 3.16, 4 Br 3.16, 2 Cd 3.53
2 Br 0.0000 0.5000 0.5000  8 Cd 3.16, 2 Br 3.53
3 Cd 0.5000 0.5000 0.0000  4 Zr 3.16, 4 Br 3.16, 2 Cd 3.53
4 Zr 0.5000 0.0000 0.5000  8 Cd 3.16, 2 Zr 3.53

- symmetry = P4/mmm
- density (g/cm³) = 6.8
- raw formation energy (meV/atom) = 40.2

[3]
A plane-wave DFT calculation with PBE was carried out for a relaxed ZrCdBr2 crystal.

Cell: 7.7393 7.7393 7.7393 Å, 155.12 143.50 44.68°
Last column: nearest neighbours and their distance in Å.
Fractional positions:
1 Cd 0.4204 0.4204 0.0000  2 Zr 3.14, 2 Br 3.30, 2 Cd 3.33
2 Br 0.0811 0.0811 0.0000  2 Zr 2.76
3 Br 0.7641 0.2641 0.5000  4 Zr 2.97, 2 Cd 3.30
4 Zr 0.2344 0.7344 0.5000  6 Br 2.76-2.97

- symmetry = Imm2
- density (g/cm³) = 5.2
- raw formation energy (meV/atom) = -482.2

[4]
A plane-wave DFT calculation with PBE was carried out for a relaxed ZrCd2Br crystal.

Cell: 5.9946 3.1603 4.9707 Å, 84.89 90.00 90.00°
Last column: nearest neighbours and their distance in Å.
Fractional positions:
1 Cd 0.0000 0.4952 0.4930  3 Cd 2.78-2.98
2 Br 0.5000 0.7500 0.7500  4 Zr 2.82-3.06, 2 Br 3.16
3 Cd 0.0000 0.0048 0.0070  3 Cd 2.78-2.98
4 Zr 0.5000 0.2500 0.2500  4 Br 2.82-3.06, 2 Zr 3.16

- symmetry = P2/m
- density (g/cm³) = 7.0
- raw formation energy (meV/atom) = -20.9

[5]
A plane-wave DFT calculation with PBE was carried out for a relaxed ZrCdBr crystal.

Cell: 4.7377 4.7377 4.7377 Å, 60.00 60.00 60.00°
Last column: nearest neighbours and their distance in Å.
Fractional positions:
1 Br 0.7500 0.7500 0.7500  4 Cd 2.90, 4 Zr 2.90
2 Cd 0.0000 0.0000 0.0000  4 Br 2.90
3 Zr 0.5000 0.5000 0.5000  4 Br 2.90

- symmetry = F-43m
- density (g/cm³) = 6.3
- raw formation energy (meV/atom) = 372.9

[6]
A plane-wave DFT calculation with PBE was carried out for a relaxed ZrCdBr2 crystal.

Cell: 5.9538 5.9497 3.4223 Å, 71.23 93.92 121.33°
Last column: nearest neighbours and their distance in Å.
Fractional positions:
1 Cd 0.0000 0.5000 0.5000  4 Br 2.92
2 Br 0.5000 0.0000 0.5000  2 Cd 2.92, 2 Zr 2.92
3 Br 0.0000 0.0000 0.0000  2 Zr 2.92, 2 Cd 2.92
4 Zr 0.5000 0.5000 0.0000  4 Br 2.92

- symmetry = C2/m
- density (g/cm³) = 6.2
- raw formation energy (meV/atom) = -221.0

[7]
A plane-wave DFT calculation with PBE was carried out for a relaxed Ce3Br crystal.

Cell: 4.5459 4.5459 4.5459 Å, 90.00 90.00 90.00°
Last column: nearest neighbours and their distance in Å.
Fractional positions:
1 Ce 0.0000 0.0000 0.5000  4 Br 3.21, 8 Ce 3.21
2 Ce 0.5000 0.0000 0.0000  4 Br 3.21, 8 Ce 3.21
3 Ce 0.0000 0.5000 0.0000  4 Br 3.21, 8 Ce 3.21
4 Br 0.5000 0.5000 0.5000  12 Ce 3.21

- symmetry = Pm-3m
- density (g/cm³) = 8.8
- raw formation energy (meV/atom) = -203.6

[8]
A plane-wave DFT calculation with PBE was carried out for a relaxed CeBr crystal.

Cell: 4.3906 4.3794 7.0910 Å, 90.00 92.25 90.00°
Last column: nearest neighbours and their distance in Å.
Fractional positions:
1 Br 0.7628 0.7500 0.6926  4 Ce 3.09-3.11
2 Br 0.2372 0.2500 0.3074  4 Ce 3.09-3.11
3 Ce 0.2784 0.7500 0.0017  4 Ce 2.93-3.28, 4 Br 3.09-3.11
4 Ce 0.7216 0.2500 0.9983  4 Ce 2.93-3.28, 4 Br 3.09-3.11

- symmetry = P2_1/m
- density (g/cm³) = 5.4
- raw formation energy (meV/atom) = -818.6

[9]
A plane-wave DFT calculation with PBE was carried out for a relaxed CeBr crystal.

Cell: 4.2009 4.2009 4.2009 Å, 60.00 60.00 60.00°
Last column: nearest neighbours and their distance in Å.
Fractional positions:
1 Br 0.5000 0.5000 0.5000  6 Ce 2.97
2 Ce 0.0000 0.0000 0.0000  6 Br 2.97

- symmetry = Fm-3m
- density (g/cm³) = 7.0
- raw formation energy (meV/atom) = -1026.8

[10]
A plane-wave DFT calculation with PBE was carried out for a relaxed Ce2Br5 crystal.

Cell: 4.1893 8.0980 13.7597 Å, 90.29 90.00 90.00°
Last column: nearest neighbours and their distance in Å.
Fractional positions:
1 Br 0.2500 0.9487 0.6811  3 Ce 3.05
2 Br 0.2500 0.6580 0.2757  2 Ce 2.97
3 Br 0.2500 0.1509 0.9325  3 Ce 3.03-3.18
4 Br 0.7500 0.6899 0.5129  3 Ce 3.02-3.15
5 Ce 0.2500 0.0721 0.1583  7 Br 3.03-3.18
6 Br 0.7500 0.3420 0.7243  2 Ce 2.97
7 Ce 0.7500 0.9279 0.8417  7 Br 3.03-3.18
8 Br 0.7500 0.3420 0.1279  3 Ce 3.05-3.06
9 Br 0.7500 0.8491 0.0675  3 Ce 3.03-3.18
10 Br 0.7500 0.0513 0.3189  3 Ce 3.05
11 Br 0.2500 0.3101 0.4871  3 Ce 3.02-3.15
12 Br 0.2500 0.6580 0.8721  3 Ce 3.05-3.06
13 Ce 0.2500 0.5744 0.6557  7 Br 2.97-3.15
14 Ce 0.7500 0.4256 0.3443  7 Br 2.97-3.15

- symmetry = P2_1/m
- density (g/cm³) = 4.8
- raw formation energy (meV/atom) = -1772.1

[11]
A plane-wave DFT calculation with PBE was carried out for a relaxed Ce2Br5 crystal.

Cell: 6.8548 8.0539 8.7629 Å, 96.53 113.02 90.00°
Last column: nearest neighbours and their distance in Å.
Fractional positions:
1 Ce 0.6098 0.9154 0.7838  8 Br 3.03-3.30
2 Br 0.3598 0.1745 0.5601  3 Ce 3.07-3.21
3 Br 0.9598 0.9277 0.1718  3 Ce 3.03-3.30
4 Br 0.6402 0.8255 0.4399  3 Ce 3.07-3.21
5 Br 0.4132 0.7500 0.0000  4 Ce 3.12-3.15
6 Br 0.5868 0.2500 0.0000  4 Ce 3.12-3.15
7 Br 0.0402 0.0723 0.8282  3 Ce 3.03-3.30
8 Br 0.2003 0.6745 0.5601  3 Ce 3.07-3.21
9 Ce 0.1740 0.4154 0.7838  8 Br 3.03-3.30
10 Ce 0.8260 0.5846 0.2162  8 Br 3.03-3.30
11 Br 0.2121 0.4277 0.1718  3 Ce 3.03-3.30
12 Br 0.7879 0.5723 0.8282  3 Ce 3.03-3.30
13 Ce 0.3902 0.0846 0.2162  8 Br 3.03-3.30
14 Br 0.7997 0.3255 0.4399  3 Ce 3.07-3.21

- symmetry = C2/c
- density (g/cm³) = 5.1
- raw formation energy (meV/atom) = -1718.8

[12]
A plane-wave DFT calculation with PBE was carried out for a relaxed Ce2Br crystal.

Cell: 3.4495 3.4495 7.5786 Å, 103.15 103.15 90.00°
Last column: nearest neighbours and their distance in Å.
Fractional positions:
1 Ce 0.6546 0.6546 0.3092  4 Br 3.30, 8 Ce 3.45-3.67
2 Ce 0.3454 0.3454 0.6908  4 Br 3.30, 8 Ce 3.45-3.67
3 Br 0.0000 0.0000 0.0000  8 Ce 3.30, 4 Br 3.45

- symmetry = I4/mmm
- density (g/cm³) = 7.0
- raw formation energy (meV/atom) = -479.7

Which of these has the lowest density? ZrCd3Br

Which value of raw formation energy does entry 11 give? -1718.8 meV/atom